{
  "formula": "Sc2FeF8",
  "functional": "PBE+U",
  "state": "relaxed",
  "total_magnetization_mub_per_cell": 4.000,
  "crystal_system": "trigonal",
  "e_tot_ev_per_atom": -6.453,
  "cell": [[4.155, 0.000, 0.000], [0.000, 5.711, -3.296], [0.000, -0.001, 6.595]],
  "species": ["Sc", "Sc", "Fe", "F", "F", "F", "F", "F", "F", "F", "F"],
  "fractional_positions": [[0.247, 0.333, 0.667], [0.753, 0.667, 0.333], [0.000, 0.000, 0.000], [0.256, 0.667, 0.333], [0.744, 0.333, 0.667], [0.762, 0.836, 0.163], [0.238, 0.163, 0.327], [0.238, 0.673, 0.836], [0.238, 0.164, 0.837], [0.762, 0.837, 0.673], [0.762, 0.327, 0.164]]
}